[1]
# Ba2AuBr6

A relaxed Ba2AuBr6 crystal (PBE, the Alexandria database).

Values from the calculation:
formation energy (no corrections)	-12.3	eV per formula unit

a = 7.4489 Å, b = 7.4489 Å, c = 13.7520 Å
α = 90.00°, β = 90.00°, γ = 90.00°
Element x y z (fractional)
1 Ba 0.0000 0.0000 0.1658
2 Ba 0.0000 0.0000 0.8342
3 Ba 0.5000 0.5000 0.3342
4 Ba 0.5000 0.5000 0.6658
5 Au 0.0000 0.0000 0.5000
6 Au 0.5000 0.5000 0.0000
7 Br 0.1777 0.1777 0.3620
8 Br 0.1777 0.1777 0.6380
9 Br 0.2019 0.2019 0.0000
10 Br 0.2981 0.7019 0.5000
11 Br 0.3223 0.6777 0.1380
12 Br 0.3223 0.6777 0.8620
13 Br 0.6777 0.3223 0.1380
14 Br 0.6777 0.3223 0.8620
15 Br 0.7019 0.2981 0.5000
16 Br 0.7981 0.7981 0.0000
17 Br 0.8223 0.8223 0.3620
18 Br 0.8223 0.8223 0.6380

[2]
# La3Nd4Tm5

A relaxed La3Nd4Tm5 crystal (PBE, the Alexandria database).

Values from the calculation:
calculated formation energy	0.228	eV per atom

a = 8.6102 Å, b = 8.6102 Å, c = 9.4801 Å
α = 115.05°, β = 115.05°, γ = 41.02°
Element x y z (fractional)
1 La 0.0000 0.0000 0.0000
2 La 0.2863 0.2863 0.7591
3 La 0.7137 0.7137 0.2409
4 Nd 0.2923 0.2923 0.1150
5 Nd 0.4140 0.4140 0.5509
6 Nd 0.5860 0.5860 0.4491
7 Nd 0.7077 0.7077 0.8850
8 Tm 0.0689 0.0689 0.6973
9 Tm 0.1697 0.1697 0.3806
10 Tm 0.5000 0.5000 0.0000
11 Tm 0.8303 0.8303 0.6194
12 Tm 0.9311 0.9311 0.3027

[3]
# Cs4S2Cl

A relaxed Cs4S2Cl crystal (PBE, the Alexandria database).

Values from the calculation:
formation energy (no corrections)	-7.0	eV per formula unit

a = 6.4895 Å, b = 6.4895 Å, c = 16.9329 Å
α = 90.00°, β = 90.00°, γ = 90.00°
Element x y z (fractional)
1 Cs 0.0000 0.0000 0.1969
2 Cs 0.0000 0.0000 0.8031
3 Cs 0.0000 0.5000 0.0000
4 Cs 0.0000 0.5000 0.5000
5 Cs 0.5000 0.0000 0.0000
6 Cs 0.5000 0.0000 0.5000
7 Cs 0.5000 0.5000 0.3031
8 Cs 0.5000 0.5000 0.6969
9 S 0.0000 0.0000 0.3877
10 S 0.0000 0.0000 0.6123
11 S 0.5000 0.5000 0.1123
12 S 0.5000 0.5000 0.8877
13 Cl 0.0000 0.0000 0.0000
14 Cl 0.5000 0.5000 0.5000